This record from the Alexandria database describes crystalline YBrCl2 at its relaxed geometry. The functional is PBEsol.

```
YBrCl2
1.0
-3.263 1.304 1.715
-2.294 -4.998 -0.563
3.378 0.856 5.777
Cl Y Br
2 1 1
direct
0.000 0.143 0.785 Cl
0.000 0.857 0.215 Cl
0.500 0.000 0.500 Y
0.500 0.500 0.500 Br
```

Values from the calculation:
* ΔE_f (raw): -2092 meV per atom
* energy above the lowest structure with this stoichiometry: 0.0000 eV per atom
* total energy: -5.2690 eV per atom
* space-group type: Cmmm (65)
* density: 2.99 Mg/m³
* magnetic moment: 0.00 Bohr magnetons per cell